(1)
Here is crystalline Pr12ThIn6 at its relaxed geometry from the Alexandria database. Energies are from PBE-GGA.

The calculation puts the total energy at -85.29 eV per cell. The space-group type is No. 148. The formation energy is -0.22 eV per atom.

Cell and atoms, written as CIF:
```
data_Pr12ThIn6
_symmetry_space_group_name_H-M 'P 1'
_symmetry_Int_Tables_number 1
_cell_length_a 8.4700
_cell_length_b 8.4700
_cell_length_c 8.4700
_cell_angle_alpha 89.68
_cell_angle_beta 89.68
_cell_angle_gamma 89.68
loop_
_symmetry_equiv_pos_as_xyz
'x,y,z'
loop_
_atom_site_label
_atom_site_type_symbol
_atom_site_fract_x
_atom_site_fract_y
_atom_site_fract_z
Pr1 Pr 0.8082 0.5284 0.4337
Pr2 Pr 0.4337 0.8082 0.5284
Pr3 Pr 0.5284 0.4337 0.8082
Pr4 Pr 0.1918 0.4716 0.5663
Pr5 Pr 0.5663 0.1918 0.4716
Pr6 Pr 0.4716 0.5663 0.1918
Pr7 Pr 0.0714 0.1244 0.3829
Pr8 Pr 0.8756 0.6171 0.9286
Pr9 Pr 0.6171 0.9286 0.8756
Pr10 Pr 0.9286 0.8756 0.6171
Pr11 Pr 0.1244 0.3829 0.0714
Pr12 Pr 0.3829 0.0714 0.1244
Th1 Th 0.0000 0.0000 0.0000
In1 In 0.7251 0.8784 0.2593
In2 In 0.7407 0.2749 0.1216
In3 In 0.1216 0.7407 0.2749
In4 In 0.2749 0.1216 0.7407
In5 In 0.2593 0.7251 0.8784
In6 In 0.8784 0.2593 0.7251
```

(2)
Here is crystalline Tb2HoSb at its relaxed geometry from the Alexandria database. Energies are from PBE-GGA.

The value obtained for the formation energy from raw total energies is -484 meV per atom. The calculation puts the total energy at -19.90 eV per cell. The calculation puts the polymorph energy (0 for the lowest one) at 5.68 kJ/mol of atoms. The space-group type is No. 123.

Cell and atoms, written as CIF:
```
data_Tb2HoSb
_symmetry_space_group_name_H-M 'P 1'
_symmetry_Int_Tables_number 1
_cell_length_a 4.7893
_cell_length_b 4.7808
_cell_length_c 4.7808
_cell_angle_alpha 90.00
_cell_angle_beta 90.00
_cell_angle_gamma 90.00
loop_
_symmetry_equiv_pos_as_xyz
'x,y,z'
loop_
_atom_site_label
_atom_site_type_symbol
_atom_site_fract_x
_atom_site_fract_y
_atom_site_fract_z
Sb1 Sb 0.5000 0.5000 0.5000
Tb1 Tb 0.0000 0.0000 0.5000
Tb2 Tb 0.0000 0.5000 0.0000
Ho1 Ho 0.5000 0.0000 0.0000
```

(3)
Here is crystalline AlSiPO2 at its relaxed geometry from the Alexandria database. Energies are from PBE-GGA.

The value obtained for the formation energy from raw total energies is -1093 meV per atom. The calculation puts the total energy at -29.96 eV per cell. The calculation puts the polymorph energy (0 for the lowest one) at 0.00 kJ/mol of atoms. The space-group type is No. 123.

Cell and atoms, written as CIF:
```
data_AlSiPO2
_symmetry_space_group_name_H-M 'P 1'
_symmetry_Int_Tables_number 1
_cell_length_a 3.4439
_cell_length_b 3.4439
_cell_length_c 5.1830
_cell_angle_alpha 90.00
_cell_angle_beta 90.00
_cell_angle_gamma 90.00
loop_
_symmetry_equiv_pos_as_xyz
'x,y,z'
loop_
_atom_site_label
_atom_site_type_symbol
_atom_site_fract_x
_atom_site_fract_y
_atom_site_fract_z
P1 P 0.0000 0.0000 0.5000
Si1 Si 0.0000 0.0000 0.0000
Al1 Al 0.5000 0.5000 0.5000
O1 O 0.0000 0.5000 0.0000
O2 O 0.5000 0.0000 0.0000
```

(4)
Here is crystalline NaAsPCl2 at its relaxed geometry from the Alexandria database. Energies are from PBE-GGA.

The value obtained for the formation energy from raw total energies is 467 meV per atom. The calculation puts the total energy at -12.74 eV per cell. The calculation puts the polymorph energy (0 for the lowest one) at 68.23 kJ/mol of atoms. The space-group type is No. 123.

Cell and atoms, written as CIF:
```
data_NaAsPCl2
_symmetry_space_group_name_H-M 'P 1'
_symmetry_Int_Tables_number 1
_cell_length_a 4.8340
_cell_length_b 4.8340
_cell_length_c 5.5959
_cell_angle_alpha 90.00
_cell_angle_beta 90.00
_cell_angle_gamma 90.00
loop_
_symmetry_equiv_pos_as_xyz
'x,y,z'
loop_
_atom_site_label
_atom_site_type_symbol
_atom_site_fract_x
_atom_site_fract_y
_atom_site_fract_z
P1 P 0.0000 0.0000 0.5000
As1 As 0.5000 0.5000 0.5000
Na1 Na 0.0000 0.0000 0.0000
Cl1 Cl 0.0000 0.5000 0.0000
Cl2 Cl 0.5000 0.0000 0.0000
```

(5)
Here is crystalline Ho3AlSi2Pd9 at its relaxed geometry from the Alexandria database. Energies are from PBE-GGA.

The value obtained for the formation energy from raw total energies is -652 meV per atom. The calculation puts the total energy at -84.84 eV per cell. The space-group type is No. 164.

Cell and atoms, written as CIF:
```
data_Ho3AlSi2Pd9
_symmetry_space_group_name_H-M 'P 1'
_symmetry_Int_Tables_number 1
_cell_length_a 6.2678
_cell_length_b 6.2678
_cell_length_c 8.9309
_cell_angle_alpha 90.00
_cell_angle_beta 90.00
_cell_angle_gamma 120.00
loop_
_symmetry_equiv_pos_as_xyz
'x,y,z'
loop_
_atom_site_label
_atom_site_type_symbol
_atom_site_fract_x
_atom_site_fract_y
_atom_site_fract_z
Ho1 Ho 0.3333 0.6667 0.7152
Ho2 Ho 0.0000 0.0000 0.0000
Ho3 Ho 0.6667 0.3333 0.2848
Al1 Al 0.0000 0.0000 0.5000
Si1 Si 0.3333 0.6667 0.1747
Si2 Si 0.6667 0.3333 0.8253
Pd1 Pd 0.8550 0.1450 0.7169
Pd2 Pd 0.8550 0.7101 0.7169
Pd3 Pd 0.2899 0.1450 0.7169
Pd4 Pd 0.7101 0.8550 0.2831
Pd5 Pd 0.1450 0.2899 0.2831
Pd6 Pd 0.1450 0.8550 0.2831
Pd7 Pd 0.5000 0.0000 0.0000
Pd8 Pd 0.0000 0.5000 0.0000
Pd9 Pd 0.5000 0.5000 0.0000
```

(6)
Here is crystalline Ba2Te2Mo at its relaxed geometry from the Alexandria database. Energies are from PBE-GGA.

The value obtained for the formation energy from raw total energies is -336 meV per atom. The calculation puts the total energy at -22.64 eV per cell. The space-group type is No. 139.

Cell and atoms, written as CIF:
```
data_Ba2Te2Mo
_symmetry_space_group_name_H-M 'P 1'
_symmetry_Int_Tables_number 1
_cell_length_a 6.8971
_cell_length_b 6.8971
_cell_length_c 6.8971
_cell_angle_alpha 120.17
_cell_angle_beta 120.17
_cell_angle_gamma 89.70
loop_
_symmetry_equiv_pos_as_xyz
'x,y,z'
loop_
_atom_site_label
_atom_site_type_symbol
_atom_site_fract_x
_atom_site_fract_y
_atom_site_fract_z
Ba1 Ba 0.7500 0.2500 0.5000
Ba2 Ba 0.2500 0.7500 0.5000
Mo1 Mo 0.0000 0.0000 0.0000
Te1 Te 0.7174 0.7174 0.0000
Te2 Te 0.2826 0.2826 0.0000
```